Mn2TcNi: relaxed, PBE.

a = 4.4474 Å, b = 4.4474 Å, c = 4.4474 Å
α = 131.38°, β = 131.39°, γ = 71.21°
Last column: nearest neighbours and their distance in Å.
Fractional coordinates of all 4 atoms:
Mn: 0.0001 0.0001 0.0000  4 Mn 2.57, 4 Tc 2.57, 4 Ni 2.59
Mn: 0.7499 0.2499 0.5000  4 Mn 2.57, 4 Ni 2.57, 4 Tc 2.59
Ni: 0.5000 0.5000 0.0000  4 Tc 2.57, 8 Mn 2.57-2.59
Tc: 0.2500 0.7500 0.5000  4 Ni 2.57, 8 Mn 2.57-2.59

Calculated values
- SG: I-4m2 (119)

***

MnTcNi2: relaxed, PBE.

a = 8.4027 Å, b = 8.4027 Å, c = 8.4027 Å
α = 17.73°, β = 17.73°, γ = 17.73°
Last column: nearest neighbours and their distance in Å.
Fractional coordinates of all 4 atoms:
Mn: 0.7484 0.7484 0.7484  3 Ni 2.50, 3 Tc 2.55, 6 Mn 2.59
Ni: 0.0008 0.0008 0.0008  3 Mn 2.50, 9 Ni 2.52-2.59
Ni: 0.2526 0.2526 0.2526  9 Ni 2.52-2.59, 3 Tc 2.64
Tc: 0.4983 0.4983 0.4983  3 Mn 2.55, 6 Tc 2.59, 3 Ni 2.64

Calculated values
- Energy above the lowest structure with this stoichiometry: 121 meV per atom
- SG: R3m (160)

***

MnTcNi2: relaxed, PBE.

a = 8.4859 Å, b = 8.4859 Å, c = 8.4859 Å
α = 17.79°, β = 17.79°, γ = 17.79°
Last column: nearest neighbours and their distance in Å.
Fractional coordinates of all 4 atoms:
Mn: 0.7500 0.7500 0.7500  6 Ni 2.55, 6 Mn 2.62
Ni: 0.0015 0.0015 0.0015  3 Mn 2.55, 3 Tc 2.61, 6 Ni 2.62
Ni: 0.4985 0.4985 0.4985  3 Mn 2.55, 3 Tc 2.61, 6 Ni 2.62
Tc: 0.2500 0.2500 0.2500  6 Ni 2.61, 6 Tc 2.62

Calculated values
- Energy above the lowest structure with this stoichiometry: 138 meV per atom
- SG: R-3m (166)

***

For reference, formation energy by record: 0.0333, 0.1167, 0.1336 eV/atom.
For reference, calculated total energy by record: -8.5883, -7.6579, -7.6410 eV per atom.
For reference, calculated volume by record: 12.120, 12.008, 12.446 Å³ per atom.